# 1
Computed, not measured: a relaxed Sr3Zn8Au3 crystal at the GGA-PBE level of DFT.

Summary:
energy relative to the lowest polymorph listed for this composition = 27.2 meV per atom
symmetry = Immm, No. 71
E_form = -34.5 kJ/mol of atoms
raw total energy = -30.073 eV/cell
calculated density = 7.71 g cm⁻³

abc: 8.557 8.557 8.557
angles: 149.23 109.42 78.95
Fractional positions:
Sr 0.000 0.000 0.000
Sr 0.322 0.322 0.000
Sr 0.678 0.678 0.000
Zn 0.039 0.683 0.356
Zn 0.156 0.877 0.279
Zn 0.327 0.683 0.644
Zn 0.403 0.123 0.279
Zn 0.597 0.877 0.721
Zn 0.673 0.317 0.356
Zn 0.844 0.123 0.721
Zn 0.961 0.317 0.644
Au 0.254 0.500 0.754
Au 0.500 0.000 0.500
Au 0.746 0.500 0.246

=====

# 2
Computed, not measured: a relaxed SrPmHg crystal at the GGA-PBE level of DFT.

Summary:
energy relative to the lowest polymorph listed for this composition = 124.3 meV per atom
symmetry = P3m1, No. 156
E_form = -15.3 kJ/mol of atoms
raw total energy = -7.211 eV/cell
calculated density = 6.82 g cm⁻³

abc: 5.347 5.347 4.260
angles: 90.00 90.00 120.00
Fractional positions:
Sr 0.000 0.000 0.000
Pm 0.333 0.667 0.484
Hg 0.667 0.333 0.571

=====

# 3
Computed, not measured: a relaxed PaAs2Ru3 crystal at the GGA-PBE level of DFT.

Summary:
symmetry = C2/m, No. 12
E_form = -52.5 kJ/mol of atoms
raw total energy = -149.668 eV/cell
calculated density = 11.21 g cm⁻³

abc: 8.519 8.519 9.802
angles: 109.07 109.07 26.98
Fractional positions:
Pa 0.000 0.000 0.000
Pa 0.159 0.159 0.695
Pa 0.841 0.841 0.305
As 0.195 0.195 0.127
As 0.364 0.364 0.551
As 0.458 0.458 0.224
As 0.542 0.542 0.776
As 0.636 0.636 0.449
As 0.805 0.805 0.873
Ru 0.044 0.044 0.325
Ru 0.221 0.221 0.389
Ru 0.318 0.318 0.045
Ru 0.383 0.383 0.814
Ru 0.500 0.500 0.500
Ru 0.617 0.617 0.186
Ru 0.682 0.682 0.955
Ru 0.779 0.779 0.611
Ru 0.956 0.956 0.675

=====

# 4
Computed, not measured: a relaxed LiMo3Pd crystal at the GGA-PBE level of DFT.

Summary:
energy relative to the lowest polymorph listed for this composition = 795.2 meV per atom
symmetry = Pm-3m, No. 221
E_form = 187.7 kJ/mol of atoms
raw total energy = -29.874 eV/cell
calculated density = 6.10 g cm⁻³

abc: 4.781 4.781 4.781
angles: 90.00 90.00 90.00
Fractional positions:
Li 0.000 0.000 0.000
Mo 0.000 0.500 0.500
Mo 0.500 0.000 0.500
Mo 0.500 0.500 0.000
Pd 0.500 0.500 0.500